This record from Alexandria describes TmMgCdPb after structural relaxation. The functional is PBE-GGA.

Computed properties:
energy of formation from the pure elements	-0.741	eV per formula unit
final energy	-2.858	eV/atom

abc: 7.3683 7.3683 7.3683
angles: 90.00 90.00 90.00
Last column: nearest neighbours and their distance in Å.
Fractional coordinates of all 16 atoms:
Tm1 0.0000 0.0000 0.0000  4 Cd 3.19, 4 Pb 3.19
Tm2 0.0000 0.5000 0.5000  4 Cd 3.19, 4 Pb 3.19
Tm3 0.5000 0.0000 0.5000  4 Cd 3.19, 4 Pb 3.19
Tm4 0.5000 0.5000 0.0000  4 Cd 3.19, 4 Pb 3.19
Mg1 0.0000 0.0000 0.5000  4 Cd 3.19, 4 Pb 3.19
Mg2 0.0000 0.5000 0.0000  4 Cd 3.19, 4 Pb 3.19
Mg3 0.5000 0.0000 0.0000  4 Cd 3.19, 4 Pb 3.19
Mg4 0.5000 0.5000 0.5000  4 Pb 3.19, 4 Cd 3.19
Cd1 0.2500 0.2500 0.7500  4 Mg 3.19, 4 Tm 3.19
Cd2 0.2500 0.7500 0.2500  4 Mg 3.19, 4 Tm 3.19
Cd3 0.7500 0.2500 0.2500  4 Mg 3.19, 4 Tm 3.19
Cd4 0.7500 0.7500 0.7500  4 Mg 3.19, 4 Tm 3.19
Pb1 0.2500 0.2500 0.2500  4 Mg 3.19, 4 Tm 3.19
Pb2 0.2500 0.7500 0.7500  4 Mg 3.19, 4 Tm 3.19
Pb3 0.7500 0.2500 0.7500  4 Mg 3.19, 4 Tm 3.19
Pb4 0.7500 0.7500 0.2500  4 Mg 3.19, 4 Tm 3.19

This record from Alexandria describes YMgCdPb after structural relaxation. The functional is PBE-GGA.

Computed properties:
energy of formation from the pure elements	-0.901	eV per formula unit
final energy	-3.396	eV/atom

abc: 7.4211 7.4211 7.4211
angles: 90.00 90.00 90.00
Last column: nearest neighbours and their distance in Å.
Fractional coordinates of all 16 atoms:
Y1 0.0000 0.0000 0.0000  4 Pb 3.21, 4 Cd 3.21
Y2 0.0000 0.5000 0.5000  4 Pb 3.21, 4 Cd 3.21
Y3 0.5000 0.0000 0.5000  4 Pb 3.21, 4 Cd 3.21
Y4 0.5000 0.5000 0.0000  4 Pb 3.21, 4 Cd 3.21
Mg1 0.0000 0.0000 0.5000  4 Cd 3.21, 4 Pb 3.21
Mg2 0.0000 0.5000 0.0000  4 Cd 3.21, 4 Pb 3.21
Mg3 0.5000 0.0000 0.0000  4 Cd 3.21, 4 Pb 3.21
Mg4 0.5000 0.5000 0.5000  4 Cd 3.21, 4 Pb 3.21
Cd1 0.2500 0.2500 0.2500  4 Mg 3.21, 4 Y 3.21
Cd2 0.2500 0.7500 0.7500  4 Mg 3.21, 4 Y 3.21
Cd3 0.7500 0.2500 0.7500  4 Mg 3.21, 4 Y 3.21
Cd4 0.7500 0.7500 0.2500  4 Mg 3.21, 4 Y 3.21
Pb1 0.2500 0.2500 0.7500  4 Mg 3.21, 4 Y 3.21
Pb2 0.2500 0.7500 0.2500  4 Mg 3.21, 4 Y 3.21
Pb3 0.7500 0.2500 0.2500  4 Mg 3.21, 4 Y 3.21
Pb4 0.7500 0.7500 0.7500  4 Y 3.21, 4 Mg 3.21

This record from Alexandria describes YMgCdPb after structural relaxation. The functional is PBE-GGA.

Computed properties:
energy of formation from the pure elements	-1.402	eV per formula unit
final energy	-3.521	eV/atom

abc: 4.4104 4.6500 4.8931
angles: 90.00 90.00 90.00
Last column: nearest neighbours and their distance in Å.
Fractional coordinates of all 4 atoms:
Y1 0.0000 0.0000 0.0000  4 Pb 3.20, 4 Cd 3.29, 4 Mg 3.38
Mg1 0.0000 0.5000 0.5000  4 Cd 3.20, 4 Pb 3.29, 4 Y 3.38
Cd1 0.5000 0.0000 0.5000  4 Mg 3.20, 4 Y 3.29, 4 Pb 3.38
Pb1 0.5000 0.5000 0.0000  4 Y 3.20, 4 Mg 3.29, 4 Cd 3.38

This record from Alexandria describes Mg4CdPd5 after structural relaxation. The functional is PBE-GGA.

Computed properties:
energy of formation from the pure elements	-6.711	eV per formula unit
final energy	-3.997	eV/atom

abc: 3.2452 3.2452 15.5701
angles: 90.00 90.00 90.00
Last column: nearest neighbours and their distance in Å.
Fractional coordinates of all 10 atoms:
Mg1 0.0000 0.0000 0.0988  8 Pd 2.76, 2 Mg 3.08
Mg2 0.0000 0.0000 0.2964  8 Pd 2.74-2.77
Mg3 0.0000 0.0000 0.7036  8 Pd 2.74-2.77
Mg4 0.0000 0.0000 0.9012  8 Pd 2.76, 2 Mg 3.08
Cd1 0.0000 0.0000 0.5000  8 Pd 2.84, 2 Mg 3.17
Pd1 0.5000 0.5000 0.0000  8 Mg 2.76, 2 Pd 3.07
Pd2 0.5000 0.5000 0.1969  8 Mg 2.76-2.77, 2 Pd 3.04-3.07
Pd3 0.5000 0.5000 0.3922  4 Mg 2.74, 4 Cd 2.84, 1 Pd 3.04
Pd4 0.5000 0.5000 0.6078  4 Mg 2.74, 4 Cd 2.84, 1 Pd 3.04
Pd5 0.5000 0.5000 0.8031  8 Mg 2.76-2.77, 2 Pd 3.04-3.07

This record from Alexandria describes MgCd2Pd4 after structural relaxation. The functional is PBE-GGA.

Computed properties:
energy of formation from the pure elements	-2.225	eV per formula unit
final energy	-3.774	eV/atom

abc: 6.0350 6.0350 7.0338
angles: 90.00 90.00 90.00
Last column: nearest neighbours and their distance in Å.
Fractional coordinates of all 14 atoms:
Mg1 0.0000 0.0000 0.0000  8 Pd 2.76, 4 Cd 3.02
Mg2 0.5000 0.5000 0.5000  8 Pd 2.76, 4 Cd 3.02
Cd1 0.0000 0.5000 0.0000  8 Pd 2.76, 2 Mg 3.02
Cd2 0.0000 0.5000 0.5000  8 Pd 2.76, 2 Mg 3.02
Cd3 0.5000 0.0000 0.0000  8 Pd 2.76, 2 Mg 3.02
Cd4 0.5000 0.0000 0.5000  8 Pd 2.76, 2 Mg 3.02
Pd1 0.2500 0.2500 0.2500  2 Mg 2.76, 4 Cd 2.76, 4 Pd 3.02
Pd2 0.2500 0.2500 0.7500  4 Cd 2.76, 2 Mg 2.76, 4 Pd 3.02
Pd3 0.2500 0.7500 0.2500  4 Cd 2.76, 2 Mg 2.76, 4 Pd 3.02
Pd4 0.2500 0.7500 0.7500  4 Cd 2.76, 2 Mg 2.76, 4 Pd 3.02
Pd5 0.7500 0.2500 0.2500  4 Cd 2.76, 2 Mg 2.76, 4 Pd 3.02
Pd6 0.7500 0.2500 0.7500  4 Cd 2.76, 2 Mg 2.76, 4 Pd 3.02
Pd7 0.7500 0.7500 0.2500  4 Cd 2.76, 2 Mg 2.76, 4 Pd 3.02
Pd8 0.7500 0.7500 0.7500  4 Cd 2.76, 2 Mg 2.76, 4 Pd 3.02

This record from Alexandria describes MgCd4Pd2 after structural relaxation. The functional is PBE-GGA.

Computed properties:
energy of formation from the pure elements	-1.768	eV per formula unit
final energy	-2.487	eV/atom

abc: 7.3577 5.5450 7.5649
angles: 90.00 112.82 90.00
Last column: nearest neighbours and their distance in Å.
Fractional coordinates of all 14 atoms:
Mg1 0.1529 0.2500 0.0411  4 Pd 2.76-2.89
Mg2 0.8471 0.7500 0.9589  4 Pd 2.76-2.89
Cd1 0.0044 0.2500 0.3857  2 Pd 2.72-2.80, 1 Cd 3.00
Cd2 0.2104 0.7500 0.3482  4 Pd 2.71-3.02, 1 Cd 3.00
Cd3 0.4024 0.0018 0.7682  2 Cd 2.75-2.79, 4 Pd 2.85-2.89
Cd4 0.4024 0.4982 0.7682  2 Cd 2.75-2.79, 4 Pd 2.85-2.89
Cd5 0.5976 0.5018 0.2318  2 Cd 2.75-2.79, 4 Pd 2.85-2.89
Cd6 0.5976 0.9982 0.2318  2 Cd 2.75-2.79, 4 Pd 2.85-2.89
Cd7 0.7896 0.2500 0.6518  4 Pd 2.71-3.02, 1 Cd 3.00
Cd8 0.9956 0.7500 0.6143  2 Pd 2.72-2.80, 1 Cd 3.00
Pd1 0.2420 0.7500 0.0034  6 Cd 2.71-2.87, 3 Mg 2.79-2.89
Pd2 0.3879 0.2500 0.4270  8 Cd 2.72-3.02, 1 Mg 2.76
Pd3 0.6121 0.7500 0.5730  8 Cd 2.72-3.02, 1 Mg 2.76
Pd4 0.7580 0.2500 0.9966  6 Cd 2.71-2.87, 3 Mg 2.79-2.89

This record from Alexandria describes Mg5CdPd6 after structural relaxation. The functional is PBE-GGA.

Computed properties:
energy of formation from the pure elements	-8.243	eV per formula unit
final energy	-4.024	eV/atom

abc: 4.3424 6.9489 6.8370
angles: 90.00 108.26 90.00
Last column: nearest neighbours and their distance in Å.
Fractional coordinates of all 12 atoms:
Mg1 0.0000 0.0000 0.0000  8 Pd 2.73-2.78
Mg2 0.3324 0.0000 0.6658  8 Pd 2.73-2.77, 1 Mg 3.05
Mg3 0.3345 0.5000 0.6703  8 Pd 2.79-2.81, 2 Cd 3.04-3.06, 2 Mg 3.10
Mg4 0.6655 0.5000 0.3297  8 Pd 2.79-2.81, 2 Cd 3.04-3.06, 2 Mg 3.10
Mg5 0.6676 0.0000 0.3342  8 Pd 2.73-2.77, 1 Mg 3.05
Cd1 0.0000 0.5000 0.0000  8 Pd 2.81-2.83, 4 Mg 3.04-3.06
Pd1 0.1695 0.2464 0.3380  7 Mg 2.73-2.80, 1 Cd 2.81, 2 Pd 3.02-3.03
Pd2 0.1695 0.7536 0.3380  7 Mg 2.73-2.80, 1 Cd 2.81, 2 Pd 3.02-3.03
Pd3 0.5000 0.2388 0.0000  6 Mg 2.73-2.81, 2 Cd 2.83
Pd4 0.5000 0.7612 0.0000  6 Mg 2.73-2.81, 2 Cd 2.83
Pd5 0.8305 0.2464 0.6620  7 Mg 2.73-2.80, 1 Cd 2.81, 2 Pd 3.02-3.03
Pd6 0.8305 0.7536 0.6620  7 Mg 2.73-2.80, 1 Cd 2.81, 2 Pd 3.02-3.03

This record from Alexandria describes Mg2Cd5Pd2 after structural relaxation. The functional is PBE-GGA.

Computed properties:
energy of formation from the pure elements	-1.592	eV per formula unit
final energy	-2.194	eV/atom

abc: 9.1088 9.1088 9.1088
angles: 74.74 117.78 142.85
Last column: nearest neighbours and their distance in Å.
Fractional coordinates of all 18 atoms:
Mg1 0.0000 0.0000 0.0000  2 Pd 2.91, 8 Cd 3.14-3.25
Mg2 0.0000 0.5000 0.5000  2 Pd 2.91, 8 Cd 3.14-3.25
Mg3 0.2047 0.9610 0.7437  2 Pd 2.63, 1 Cd 2.85
Mg4 0.2174 0.4610 0.2563  2 Pd 2.63, 1 Cd 2.85
Cd1 0.4785 0.1039 0.1444  2 Pd 2.77-2.78, 3 Cd 2.91-3.05
Cd2 0.4784 0.3234 0.3637  2 Pd 2.78-2.79, 3 Cd 2.91-3.04
Cd3 0.4784 0.6147 0.6550  2 Pd 2.78-2.79, 3 Cd 2.91-3.04
Cd4 0.4785 0.8341 0.8746  2 Pd 2.77-2.78, 3 Cd 2.91-3.05
Cd5 0.7110 0.4696 0.7414  2 Pd 2.78, 2 Mg 2.85-2.95, 4 Cd 3.04-3.05
Cd6 0.7281 0.9696 0.2586  2 Pd 2.78, 2 Mg 2.85-2.95, 4 Cd 3.04-3.05
Cd7 0.9597 0.1147 0.6363  2 Pd 2.78-2.79, 3 Cd 2.91-3.04
Cd8 0.9595 0.3341 0.8556  2 Pd 2.77-2.78, 3 Cd 2.91-3.05
Cd9 0.9595 0.6039 0.1254  2 Pd 2.77-2.78, 3 Cd 2.91-3.05
Cd10 0.9597 0.8234 0.3450  2 Pd 2.78-2.79, 3 Cd 2.91-3.04
Pd1 0.4415 0.5364 0.0926  2 Mg 2.63-2.91, 1 Pd 2.72, 5 Cd 2.77-2.79
Pd2 0.4415 0.8489 0.4051  2 Mg 2.63-2.91, 1 Pd 2.72, 5 Cd 2.77-2.79
Pd3 0.4438 0.0364 0.5949  2 Mg 2.63-2.91, 1 Pd 2.72, 5 Cd 2.77-2.79
Pd4 0.4438 0.3489 0.9074  2 Mg 2.63-2.91, 1 Pd 2.72, 5 Cd 2.77-2.79

This record from Alexandria describes Mg4Cd3Pd after structural relaxation. The functional is PBE-GGA.

Computed properties:
energy of formation from the pure elements	-2.232	eV per formula unit
final energy	-2.069	eV/atom

abc: 3.2860 3.2860 14.8820
angles: 90.00 90.00 90.00
Last column: nearest neighbours and their distance in Å.
Fractional coordinates of all 8 atoms:
Mg1 0.0000 0.0000 0.1004  4 Pd 2.76, 1 Mg 2.99, 4 Cd 3.04
Mg2 0.0000 0.0000 0.3654  8 Cd 3.05-3.07, 4 Mg 3.29
Mg3 0.0000 0.0000 0.6346  8 Cd 3.05-3.07, 4 Mg 3.29
Mg4 0.0000 0.0000 0.8996  4 Pd 2.76, 1 Mg 2.99, 4 Cd 3.04
Cd1 0.5000 0.5000 0.2325  8 Mg 3.04-3.05, 4 Cd 3.29
Cd2 0.5000 0.5000 0.5000  8 Mg 3.07, 4 Cd 3.29
Cd3 0.5000 0.5000 0.7675  8 Mg 3.04-3.05, 4 Cd 3.29
Pd1 0.5000 0.5000 0.0000  8 Mg 2.76

This record from Alexandria describes MgCdPd2 after structural relaxation. The functional is PBE-GGA.

Computed properties:
energy of formation from the pure elements	0.050	eV per formula unit
final energy	-3.211	eV/atom

abc: 2.8709 4.9413 10.5121
angles: 90.00 90.00 90.00
Last column: nearest neighbours and their distance in Å.
Fractional coordinates of all 8 atoms:
Mg1 0.0000 0.0000 0.0000  2 Pd 2.55
Mg2 0.5000 0.5000 0.5000  2 Pd 2.55
Cd1 0.0000 0.0000 0.5000  2 Pd 2.71, 4 Mg 2.86, 2 Cd 2.87
Cd2 0.5000 0.5000 0.0000  2 Pd 2.71, 4 Mg 2.86, 2 Cd 2.87
Pd1 0.0000 0.0000 0.2423  1 Mg 2.55, 1 Cd 2.71
Pd2 0.0000 0.0000 0.7577  1 Mg 2.55, 1 Cd 2.71
Pd3 0.5000 0.5000 0.2577  1 Mg 2.55, 1 Cd 2.71
Pd4 0.5000 0.5000 0.7423  1 Mg 2.55, 1 Cd 2.71

Question: What is the final energy in the sixth record?
Answer: -2.487 eV/atom